Record 1
This record from Alexandria via LeMat-Bulk describes a geometry-optimized MnSi2As structure. The functional is PBE.

Cell lengths 4.7537, 4.7537, 2.7114 Å; angles 90.00, 90.00, 106.98 degrees
Each line ends with the local moment (μB).
Atoms (fractional coordinates):
Si 0.5000 0.5000 0.0000  -0.03
Si 0.0000 0.0000 0.0000  -0.03
As 0.5000 0.0000 0.5000  -0.02
Mn 0.0000 0.5000 0.5000  2.73

Properties
DOS(E_F), states/eV/cell: 2.3
Total moment, μB/f.u.: 2.62
DFT total energy, eV/atom: -5.819
Density, g cm⁻³: 5.27
Raw formation energy, eV/atom: 0.348
V, Å³ per cell: 59

=====

Record 2
This record from Alexandria via LeMat-Bulk describes a geometry-optimized RePtCl2 structure. The functional is PBE.

Cell lengths 5.9449, 5.9449, 6.2517 Å; angles 61.61, 61.61, 90.00 degrees
Atoms (fractional coordinates):
Cl 0.5960 0.1250 0.2500
Cl 0.8750 0.8460 0.7500
Cl 0.3750 0.4040 0.7500
Cl 0.1540 0.6250 0.2500
Pt 0.7500 0.2500 0.5000
Pt 0.0000 0.0000 0.0000
Re 0.5000 0.5000 0.0000
Re 0.2500 0.7500 0.5000

Properties
DOS(E_F), states/eV/cell: 10.9
Total moment, μB/f.u.: 0.00
ΔE to the lowest computed polymorph, eV per atom: 1.198
DFT total energy, eV/atom: -4.328
Density, g cm⁻³: 9.18
Raw formation energy, eV/atom: 1.218
V, Å³ per cell: 164

=====

Record 3
This record from Alexandria via LeMat-Bulk describes a geometry-optimized DyErBi structure. The functional is PBE.

Cell lengths 3.8330, 5.2381, 5.2381 Å; angles 120.00, 90.00, 90.00 degrees
Atoms (fractional coordinates):
Bi 0.0108 0.0000 0.0000
Dy 0.7279 0.3333 0.6667
Er 0.2612 0.6667 0.3333

Properties
DOS(E_F), states/eV/cell: 3.5
Total moment, μB/f.u.: 0.00
DFT formation energy, eV per atom: -0.2507
DFT total energy, eV/atom: -4.599
Density, g cm⁻³: 9.82
V, Å³ per cell: 91

=====

Record 4
This record from Alexandria via LeMat-Bulk describes a geometry-optimized Tl3SnSb2 structure. The functional is PBE.

Cell lengths 4.9548, 9.4626, 9.8649 Å; angles 105.29, 90.00, 105.18 degrees
Atoms (fractional coordinates):
Tl 0.0568 0.1137 0.1720
Tl 0.6831 0.3662 0.0814
Tl 0.3169 0.6338 0.9186
Tl 0.1979 0.3957 0.5731
Tl 0.8021 0.6043 0.4269
Tl 0.9432 0.8863 0.8280
Sb 0.3954 0.7908 0.6075
Sb 0.8719 0.7438 0.1460
Sb 0.6046 0.2092 0.3925
Sb 0.1281 0.2562 0.8540
Sn 0.5671 0.1343 0.6776
Sn 0.4329 0.8657 0.3224

Properties
DOS(E_F), states/eV/cell: 4.2
Total moment, μB/f.u.: 0.00
ΔE to the lowest computed polymorph, eV per atom: 0.009
DFT total energy, eV/atom: -3.214
Density, g cm⁻³: 7.54
Raw formation energy, eV/atom: 0.010
V, Å³ per cell: 429

=====

Record 5
This record from Alexandria via LeMat-Bulk describes a geometry-optimized RbCeBS4 structure. The functional is PBE.

Cell lengths 6.0919, 6.3806, 9.1589 Å; angles 90.00, 109.27, 90.00 degrees
Each line ends with the local moment (μB).
Atoms (fractional coordinates):
S 0.6147 0.2500 0.4495  -0.01
S 0.3853 0.7500 0.5505  -0.01
S 0.9989 0.5071 0.2931  -0.01
S 0.6191 0.2500 0.8066  -0.01
S 0.0011 0.4929 0.7069  -0.01
S 0.9989 0.9929 0.2931  -0.01
S 0.3809 0.7500 0.1934  -0.01
S 0.0011 0.0071 0.7069  -0.01
Ce 0.7601 0.7500 0.4487  0.22
Ce 0.2399 0.2500 0.5513  0.22
B 0.2008 0.7500 0.3313  0.00
B 0.7992 0.2500 0.6687  0.00
Rb 0.2776 0.2500 0.0646  0.00
Rb 0.7224 0.7500 0.9354  0.00

Properties
Total moment, μB/f.u.: 0.16
DFT total energy, eV/atom: -5.554
Density, g cm⁻³: 3.60
Raw formation energy, eV/atom: -1.255
V, Å³ per cell: 336

=====

Record 6
This record from Alexandria via LeMat-Bulk describes a geometry-optimized TiMoPt2 structure. The functional is PBE.

Cell lengths 3.8729, 3.8729, 9.4725 Å; angles 78.20, 78.20, 90.00 degrees
Atoms (fractional coordinates):
Pt 0.8750 0.8731 0.7500
Pt 0.1269 0.6250 0.2500
Pt 0.6231 0.1250 0.2500
Pt 0.3750 0.3769 0.7500
Ti 0.5000 0.5000 0.0000
Ti 0.2500 0.7500 0.5000
Mo 0.0000 0.0000 0.0000
Mo 0.7500 0.2500 0.5000

Properties
DOS(E_F), states/eV/cell: 6.8
Total moment, μB/f.u.: 0.00
DFT formation energy, eV per atom: -0.0388
DFT total energy, eV/atom: -7.741
Density, g cm⁻³: 13.04
V, Å³ per cell: 136

=====

Record 7
This record from Alexandria via LeMat-Bulk describes a geometry-optimized SrCd2Hg2Au2 structure. The functional is PBE.

Cell lengths 4.7595, 4.7595, 9.2111 Å; angles 75.03, 75.03, 60.00 degrees
Atoms (fractional coordinates):
Cd 0.1404 0.1404 0.5788
Cd 0.8596 0.8596 0.4212
Hg 0.7347 0.7347 0.7958
Hg 0.2653 0.2653 0.2042
Au 0.4399 0.4399 0.6803
Au 0.5601 0.5601 0.3197
Sr 0.0000 0.0000 0.0000

Properties
DOS(E_F), states/eV/cell: 2.6
Total moment, μB/f.u.: 0.00
DFT formation energy, eV per atom: -0.2831
DFT total energy, eV/atom: -1.807
Density, g cm⁻³: 10.66
V, Å³ per cell: 172

=====

Record 8
This record from Alexandria via LeMat-Bulk describes a geometry-optimized Ac2Cu15Ag2 structure. The functional is PBE.

Cell lengths 6.7089, 6.7089, 6.7089 Å; angles 83.05, 83.05, 83.05 degrees
Atoms (fractional coordinates):
Cu 0.0000 0.7087 0.2913
Cu 0.3420 0.8435 0.3420
Cu 0.2913 0.0000 0.7087
Cu 0.0000 0.2913 0.7087
Cu 0.5000 0.0000 0.0000
Cu 0.1565 0.6580 0.6580
Cu 0.0000 0.0000 0.5000
Cu 0.6580 0.1565 0.6580
Cu 0.3420 0.3420 0.8435
Cu 0.2913 0.7087 0.0000
Cu 0.7087 0.0000 0.2913
Cu 0.6580 0.6580 0.1565
Cu 0.7087 0.2913 0.0000
Cu 0.0000 0.5000 0.0000
Cu 0.8435 0.3420 0.3420
Ac 0.6544 0.6544 0.6544
Ac 0.3456 0.3456 0.3456
Ag 0.8978 0.8978 0.8978
Ag 0.1022 0.1022 0.1022

Properties
DOS(E_F), states/eV/cell: 6.5
Total moment, μB/f.u.: 0.00
DFT formation energy, eV per atom: -0.0635
DFT total energy, eV/atom: -4.030
Density, g cm⁻³: 9.11
V, Å³ per cell: 296